Dy2ErFe2Ni7: optimized geometry, PBE.

Cell lengths 8.573, 8.573, 8.573 Å; angles 33.77, 33.77, 33.77 degrees
Site moments in Bohr magnetons follow the coordinates.
Fractional positions:
Ni 0.918 0.419 0.419  0.28
Ni 0.082 0.581 0.581  0.28
Fe 0.333 0.333 0.333  2.48
Ni 0.500 0.500 0.500  0.04
Dy 0.861 0.861 0.861  -0.15
Fe 0.667 0.667 0.667  2.48
Ni 0.419 0.918 0.419  0.29
Er 0.000 0.000 0.000  -0.17
Ni 0.581 0.082 0.581  0.29
Ni 0.419 0.419 0.918  0.28
Ni 0.581 0.581 0.082  0.28
Dy 0.139 0.139 0.139  -0.15

## Properties
Magnetic moment = 0.512 μB per atom
Crystal system = trigonal
Formation energy = -0.36 eV per atom